Record 1
Li6La2Au3, optimized geometry, DFT GGA-PBE; E_tot = -3.25 eV per atom; formation energy = -0.418 eV per atom; density of states at the Fermi level = 7.1 states/eV per cell; SG = P-62m (189)
1.0
4.103 0.000 0.000
0.000 8.162 0.000
0.000 -4.081 7.068
Li La Au
6 2 3
Cartesian
2.051 3.005 5.205
2.051 -1.076 1.863
0.000 0.828 1.434
0.000 6.507 0.000
2.051 2.151 0.000
0.000 -3.253 5.635
0.000 4.081 2.356
0.000 0.000 4.712
2.051 1.645 2.849
2.051 4.872 0.000
2.051 -2.436 4.220

***

Record 2
LiLa2Au, optimized geometry, DFT GGA-PBE; E_tot = -4.06 eV per atom; formation energy = -0.302 eV per atom; density of states at the Fermi level = 1.1 states/eV per cell; SG = I-4m2 (119)
1.0
-1.609 -0.474 4.847
4.623 -1.782 1.326
-0.399 4.522 -2.387
Au La Li
1 2 1
Cartesian
-0.251 1.460 2.773
0.000 0.000 0.000
2.865 0.806 1.013
1.507 -1.128 3.087

***

What is the formula in the first record?
Li6La2Au3